<P>
# PBE-GGA Dy2Fe3Si5, relaxed
# - D(E_F): 5.44 states/eV/f.u.
data_Dy2Fe3Si5
_chemical_formula_sum 'Dy8 Fe12 Si20'
_symmetry_space_group_name_H-M 'I b a m'
_symmetry_Int_Tables_number 72
_symmetry_space_group_name_Hall '-I 2 2c'
_cell_length_a 9.348
_cell_length_b 11.736
_cell_length_c 5.396
_cell_angle_alpha 90.00
_cell_angle_beta 90.00
_cell_angle_gamma 90.00
loop_
_atom_site_label
_atom_site_fract_x
_atom_site_fract_y
_atom_site_fract_z
Dy1 0.231 0.138 0.000
Fe1 0.000 0.500 0.250
Fe2 0.091 0.145 0.500
Si1 0.000 0.000 0.250
Si2 0.000 0.290 0.250
Si3 0.170 0.407 0.000


<Q>
# PBE-GGA Dy2Fe3Si5, relaxed
# - D(E_F): 4.98 states/eV/f.u.
data_Dy2Fe3Si5
_chemical_formula_sum 'Dy8 Fe12 Si20'
_symmetry_space_group_name_H-M 'P 4/m n c'
_symmetry_Int_Tables_number 128
_symmetry_space_group_name_Hall '-P 4 2n'
_cell_length_a 10.356
_cell_length_b 10.356
_cell_length_c 5.478
_cell_angle_alpha 90.00
_cell_angle_beta 90.00
_cell_angle_gamma 90.00
loop_
_atom_site_label
_atom_site_fract_x
_atom_site_fract_y
_atom_site_fract_z
Dy1 0.069 0.236 0.000
Fe1 0.000 0.500 0.250
Fe2 0.123 0.855 0.500
Si1 0.000 0.000 0.269
Si2 0.022 0.320 0.500
Si3 0.178 0.678 0.250


Result of the stability comparison: <Q> is the most stable of them.


<P>
# PBE-GGA DyFe10Si2, relaxed
# - D(E_F): 10.65 states/eV/f.u.
data_DyFe10Si2
_chemical_formula_sum 'Dy4 Fe40 Si8'
_symmetry_space_group_name_H-M 'C m c m'
_symmetry_Int_Tables_number 63
_symmetry_space_group_name_Hall '-C 2c 2'
_cell_length_a 8.317
_cell_length_b 9.558
_cell_length_c 8.187
_cell_angle_alpha 90.00
_cell_angle_beta 90.00
_cell_angle_gamma 90.00
loop_
_atom_site_label
_atom_site_fract_x
_atom_site_fract_y
_atom_site_fract_z
Dy1 0.000 0.125 0.250
Fe1 0.000 0.159 0.601
Fe2 0.000 0.393 0.075
Fe3 0.140 0.379 0.750
Fe4 0.229 0.000 0.000
Fe5 0.242 0.372 0.250
Si1 0.250 0.250 0.000


<Q>
# PBE-GGA DyFe10Si2, relaxed
# - D(E_F): 10.06 states/eV/f.u.
data_DyFe10Si2
_chemical_formula_sum 'Dy2 Fe20 Si4'
_symmetry_space_group_name_H-M 'I m m m'
_symmetry_Int_Tables_number 71
_symmetry_space_group_name_Hall '-I 2 2'
_cell_length_a 4.744
_cell_length_b 8.285
_cell_length_c 8.342
_cell_angle_alpha 90.00
_cell_angle_beta 90.00
_cell_angle_gamma 90.00
loop_
_atom_site_label
_atom_site_fract_x
_atom_site_fract_y
_atom_site_fract_z
Dy1 0.000 0.000 0.000
Fe1 0.000 0.000 0.361
Fe2 0.000 0.291 0.500
Fe3 0.000 0.355 0.000
Fe4 0.250 0.250 0.250
Si1 0.000 0.500 0.265


Result of the stability comparison: <Q> is the most stable of them.